No. 1
! PrDy2TmTl4, relaxed, DFT PBE; values from VASP
&SYSTEM
  ibrav = 0, nat = 8, ntyp = 4
/
ATOMIC_SPECIES
Pr 140.91 Pr.upf
Dy 162.50 Dy.upf
Tm 168.93 Tm.upf
Tl 204.38 Tl.upf
CELL_PARAMETERS angstrom
2.700 1.559 8.868
-2.700 1.559 8.868
0.000 -3.118 8.868
ATOMIC_POSITIONS crystal
Pr 0.000 0.000 0.000
Dy 0.249 0.249 0.249
Dy 0.751 0.751 0.751
Tm 0.500 0.500 0.500
Tl 0.127 0.127 0.127
Tl 0.377 0.377 0.377
Tl 0.623 0.623 0.623
Tl 0.873 0.873 0.873
! - E_tot: -3.826 eV/atom
! - D(E_F): 0.81 states/eV/atom
! - ΔE_f: -336.1 meV per atom
! - SG: No. 166

No. 2
! KGe2F, relaxed, DFT PBE; values from VASP
&SYSTEM
  ibrav = 0, nat = 8, ntyp = 3
/
ATOMIC_SPECIES
K 39.10 K.upf
Ge 72.64 Ge.upf
F 19.00 F.upf
CELL_PARAMETERS angstrom
-2.516 2.516 8.791
2.516 -2.516 8.791
2.516 2.516 -8.791
ATOMIC_POSITIONS crystal
K 0.375 0.625 0.750
K 0.625 0.375 0.250
Ge 0.000 0.000 0.000
Ge 0.000 0.000 0.500
Ge 0.000 0.500 0.000
Ge 0.500 0.000 0.500
F 0.125 0.875 0.250
F 0.875 0.125 0.750
! - E_tot: -3.532 eV/atom
! - Formation energy (no corrections): -481 meV/atom
! - D(E_F): 0.45 states/eV/atom
! - SG: No. 141

No. 3
! PmNdBr5, relaxed, DFT PBE; values from VASP
&SYSTEM
  ibrav = 0, nat = 14, ntyp = 3
/
ATOMIC_SPECIES
Pm 145.00 Pm.upf
Nd 144.24 Nd.upf
Br 79.90 Br.upf
CELL_PARAMETERS angstrom
8.603 0.000 0.000
0.000 4.109 0.000
-0.910 0.000 13.670
ATOMIC_POSITIONS crystal
Pm 0.083 0.250 0.157
Pm 0.917 0.750 0.843
Nd 0.399 0.750 0.348
Nd 0.601 0.250 0.652
Br 0.132 0.250 0.784
Br 0.154 0.250 0.376
Br 0.179 0.750 0.015
Br 0.367 0.750 0.572
Br 0.433 0.250 0.190
Br 0.567 0.750 0.810
Br 0.633 0.250 0.428
Br 0.821 0.250 0.985
Br 0.846 0.750 0.624
Br 0.868 0.750 0.216
! - E_tot: -4.369 eV/atom
! - Formation energy (no corrections): -1814 meV/atom
! - D(E_F): 0.11 states/eV/atom
! - SG: No. 11

No. 4
! CdOs3O, relaxed, DFT PBE; values from VASP
&SYSTEM
  ibrav = 0, nat = 5, ntyp = 3
/
ATOMIC_SPECIES
Cd 112.41 Cd.upf
Os 190.23 Os.upf
O 16.00 O.upf
CELL_PARAMETERS angstrom
4.968 0.000 0.000
0.000 4.968 0.000
0.000 0.000 4.968
ATOMIC_POSITIONS crystal
Cd 0.000 0.000 0.000
Os 0.000 0.000 0.500
Os 0.000 0.500 0.000
Os 0.500 0.000 0.000
O 0.500 0.500 0.500
! - E_tot: -4.210 eV/atom
! - Formation energy (no corrections): 3702 meV/atom
! - D(E_F): 1.11 states/eV/atom
! - SG: No. 221

No. 5
! SnRh2F, relaxed, DFT PBE; values from VASP
&SYSTEM
  ibrav = 0, nat = 8, ntyp = 3
/
ATOMIC_SPECIES
Sn 118.71 Sn.upf
Rh 102.91 Rh.upf
F 19.00 F.upf
CELL_PARAMETERS angstrom
-1.865 1.865 9.428
1.865 -1.865 9.428
1.865 1.865 -9.428
ATOMIC_POSITIONS crystal
Sn 0.000 0.000 0.000
Sn 0.750 0.250 0.500
Rh 0.139 0.625 0.014
Rh 0.375 0.389 0.514
Rh 0.611 0.125 0.986
Rh 0.875 0.861 0.486
F 0.250 0.750 0.500
F 0.500 0.500 0.000
! - E_tot: -5.389 eV/atom
! - Formation energy (no corrections): -245 meV/atom
! - D(E_F): 1.02 states/eV/atom
! - SG: No. 122

No. 6
! LaBrF, relaxed, DFT PBE; values from VASP
&SYSTEM
  ibrav = 0, nat = 12, ntyp = 3
/
ATOMIC_SPECIES
La 138.91 La.upf
Br 79.90 Br.upf
F 19.00 F.upf
CELL_PARAMETERS angstrom
6.097 0.000 0.000
0.000 7.933 0.000
-3.135 0.000 6.391
ATOMIC_POSITIONS crystal
La 0.050 0.124 0.284
La 0.050 0.376 0.784
La 0.950 0.624 0.216
La 0.950 0.876 0.716
Br 0.365 0.675 0.071
Br 0.365 0.825 0.571
Br 0.635 0.175 0.429
Br 0.635 0.325 0.929
F 0.131 0.111 0.966
F 0.131 0.389 0.466
F 0.869 0.611 0.534
F 0.869 0.889 0.034
! - E_tot: -5.447 eV/atom
! - Formation energy (no corrections): -2623 meV/atom
! - D(E_F): 0.38 states/eV/atom
! - SG: No. 14

No. 7
! Nb2VHgRu, relaxed, DFT PBE; values from VASP
&SYSTEM
  ibrav = 0, nat = 5, ntyp = 4
/
ATOMIC_SPECIES
Nb 92.91 Nb.upf
V 50.94 V.upf
Hg 200.59 Hg.upf
Ru 101.07 Ru.upf
CELL_PARAMETERS angstrom
4.737 0.000 0.000
0.000 4.737 0.000
0.000 0.000 5.142
ATOMIC_POSITIONS crystal
Nb 0.000 0.500 0.000
Nb 0.500 0.000 0.000
V 0.000 0.000 0.500
Hg 0.500 0.500 0.500
Ru 0.500 0.500 0.000
! - E_tot: -6.549 eV/atom
! - D(E_F): 1.46 states/eV/atom
! - ΔE_f: 1217.9 meV per atom
! - SG: No. 123

No. 8
! Y2CoRu, relaxed, DFT PBE; values from VASP
&SYSTEM
  ibrav = 0, nat = 4, ntyp = 3
/
ATOMIC_SPECIES
Y 88.91 Y.upf
Co 58.93 Co.upf
Ru 101.07 Ru.upf
CELL_PARAMETERS angstrom
-1.986 1.986 5.040
1.986 -1.986 5.040
1.986 1.986 -5.040
ATOMIC_POSITIONS crystal
Y 0.000 0.000 0.000
Y 0.750 0.250 0.500
Co 0.250 0.750 0.500
Ru 0.500 0.500 0.000
! - E_tot: -7.270 eV/atom
! - D(E_F): 1.15 states/eV/atom
! - ΔE_f: 57.1 meV per atom
! - SG: No. 119